Computed, not measured: crystalline Sr2PrSe3 at its relaxed geometry at the GGA-PBE level of DFT.

POSCAR file:
```
Sr2PrSe3
1.0
4.354 0.000 0.000
0.000 6.184 0.000
0.000 0.000 13.173
Sr Pr Se
4 2 6
direct
0.000 0.000 0.168
0.000 0.000 0.832
0.500 0.500 0.332
0.500 0.500 0.668
0.000 0.000 0.500
0.500 0.500 0.000
0.000 0.500 0.162
0.000 0.500 0.500
0.000 0.500 0.838
0.500 0.000 0.000
0.500 0.000 0.338
0.500 0.000 0.662
```

Properties
- Distance to the lowest polymorph of the same formula: 4 meV per atom
- Formation energy without anion corrections: -1.956 eV per atom
- Magnetic moment: 0.000 μB per cell